# 1
A plane-wave DFT calculation with PBE was carried out for a relaxed FeHCl3 crystal.

Unit cell a=4.7269 b=4.7269 c=4.7269 alpha=90.00 beta=90.00 gamma=90.00
Closest atoms and distances in Å follow each position.
Space group Pm-3m (No. 221)
Asymmetric unit:
Fe: 0.0000 0.0000 0.0000  6 Cl 2.36
H: 0.5000 0.5000 0.5000  12 Cl 3.34
Cl: 0.0000 0.0000 0.5000  2 Fe 2.36

Calculated values
The value obtained for the volume is 106 Å³/cell. For the energy above the most stable polymorph in this dataset, the calculation gives 1.497 eV/f.u. The magnetic moment is 4.156 μB/f.u. The crystal system is cubic. The density of states at the Fermi level comes out at 9.14 states/eV/f.u. Its density is 2.6 g/cm3.

# 2
A plane-wave DFT calculation with PBE was carried out for a relaxed FeHCl2 crystal.

Unit cell a=3.5865 b=3.5865 c=17.9971 alpha=90.00 beta=90.00 gamma=120.00
Closest atoms and distances in Å follow each position.
Space group R-3m (No. 166, hexagonal axes)
Asymmetric unit:
Fe: 0.0000 0.0000 0.0000  6 Cl 2.51
H: 0.0000 0.0000 0.5000  2 Cl 1.59
Cl: 0.0000 0.0000 0.4117  1 H 1.59

Calculated values
The value obtained for the volume is 200 Å³/cell. For the energy above the most stable polymorph in this dataset, the calculation gives 0.000 eV/f.u. The magnetic moment is 3.000 μB/f.u. The crystal system is trigonal. The density of states at the Fermi level comes out at 2.62 states/eV/f.u. Its density is 3.2 g/cm3.

Among the records above, which one has the highest energy above the most stable polymorph in this dataset? FeHCl3

What did the second record say?
A plane-wave DFT calculation with PBE was carried out for a relaxed FeHCl2 crystal.

Unit cell a=3.5865 b=3.5865 c=17.9971 alpha=90.00 beta=90.00 gamma=120.00
Closest atoms and distances in Å follow each position.
Space group R-3m (No. 166, hexagonal axes)
Asymmetric unit:
Fe: 0.0000 0.0000 0.0000  6 Cl 2.51
H: 0.0000 0.0000 0.5000  2 Cl 1.59
Cl: 0.0000 0.0000 0.4117  1 H 1.59

Calculated values
The value obtained for the volume is 200 Å³/cell. For the energy above the most stable polymorph in this dataset, the calculation gives 0.000 eV/f.u. The magnetic moment is 3.000 μB/f.u. The crystal system is trigonal. The density of states at the Fermi level comes out at 2.62 states/eV/f.u. Its density is 3.2 g/cm3.